## Tl5Si (PBE)

Data for a relaxed structure of Tl5Si.

abc: 6.611 6.611 8.396
angles: 72.19 72.19 30.45
Positions (direct):
Tl (0.029, 0.029, 0.442)
Tl (0.694, 0.694, 0.646)
Tl (0.672, 0.672, 0.087)
Tl (0.385, 0.385, 0.799)
Tl (0.360, 0.360, 0.246)
Si (0.026, 0.026, 0.947)

## Properties
Formation energy from raw total energies, eV/atom: 0.21
Total magnetic moment, μB per cell: 0.00